Record 1
VASP calculation (PBE-GGA) on TbHo2Ni after structural relaxation.

The distance to the lowest polymorph of the same formula comes out at 0 meV/atom. The value obtained for the formation energy is -1.01 eV per formula unit.

The structure belongs to space group Pnma (No. 62); the cell edges are 6.8337, 9.5417 and 6.3116 Å and the angles 90.00°, 90.00° and 90.00°. The distinct sites, in fractional coordinates, are Tb at (0.0326, 0.2500, 0.1392), Ho at (0.1776, 0.0661, 0.6774) and Ni at (0.1103, 0.7500, 0.4427).

Record 2
VASP calculation (PBE-GGA) on La7Pr16Dy6 after structural relaxation.

The value obtained for the formation energy is 6.88 eV per formula unit.

The structure belongs to space group Fm-3m (No. 225); the cell edges are 16.0799, 16.0799 and 16.0799 Å and the angles 90.00°, 90.00° and 90.00°. The distinct sites, in fractional coordinates, are La at (0.0000, 0.0000, 0.0000), La at (0.0000, 0.2500, 0.2500), Pr at (0.1218, 0.1218, 0.1218), Pr at (0.1551, 0.1551, 0.3449) and Dy at (0.0000, 0.0000, 0.2935).

Record 3
VASP calculation (PBE-GGA) on LiAuBr2O after structural relaxation.

The structure belongs to space group P4/mmm (No. 123); the cell edges are 5.4739, 5.4739 and 3.9718 Å and the angles 90.00°, 90.00° and 90.00°. The distinct sites, in fractional coordinates, are Li at (0.0000, 0.0000, 0.0000), Au at (0.5000, 0.5000, 0.5000), Br at (0.0000, 0.5000, 0.5000) and O at (0.5000, 0.5000, 0.0000).

Record 4
VASP calculation (PBE-GGA) on Hf4TlTe8 after structural relaxation.

The structure belongs to space group R-3m (No. 166, hexagonal axes); the cell edges are 7.9761, 7.9761 and 25.8254 Å and the angles 90.00°, 90.00° and 120.00°. The distinct sites, in fractional coordinates, are Hf at (0.0000, 0.0000, 0.0000), Hf at (0.0000, 0.5000, 0.0000), Tl at (0.0000, 0.0000, 0.5000), Te at (0.0000, 0.0000, 0.2650) and Te at (0.0022, 0.5011, 0.7351).

Record 5
VASP calculation (PBE-GGA) on CdAg2TeO6 after structural relaxation.

The structure belongs to space group R3 (No. 146, hexagonal axes); the cell edges are 5.6225, 5.6225 and 15.0484 Å and the angles 90.00°, 90.00° and 120.00°. The distinct sites, in fractional coordinates, are Cd at (0.0000, 0.0000, 0.0000), Ag at (0.0000, 0.0000, 0.2070), Ag at (0.0000, 0.0000, 0.7305), Te at (0.0000, 0.0000, 0.5213), O at (0.0557, 0.6679, 0.2701) and O at (0.0611, 0.3537, 0.1181).

Record 6
VASP calculation (PBE-GGA) on Tl2CdP after structural relaxation.

The distance to the lowest polymorph of the same formula comes out at 0 meV/atom. The value obtained for the formation energy is 0.32 eV per formula unit.

The structure belongs to space group R3m (No. 160, hexagonal axes); the cell edges are 4.2553, 4.2553 and 21.8134 Å and the angles 90.00°, 90.00° and 120.00°. The distinct sites, in fractional coordinates, are Tl at (0.0000, 0.0000, 0.0000), Tl at (0.0000, 0.0000, 0.2151), Cd at (0.0000, 0.0000, 0.7593) and P at (0.0000, 0.0000, 0.4680).

Record 7
VASP calculation (PBE-GGA) on ScInHg after structural relaxation.

The distance to the lowest polymorph of the same formula comes out at 6 meV/atom. The value obtained for the formation energy is -0.94 eV per formula unit.

The structure belongs to space group C2/m (No. 12); the cell edges are 9.3553, 4.6645 and 6.3062 Å and the angles 90.00°, 100.16° and 90.00°. The distinct sites, in fractional coordinates, are Sc at (0.1622, 0.0000, 0.3028), In at (0.0000, 0.5000, 0.0000), In at (0.0000, 0.5000, 0.5000) and Hg at (0.1636, 0.0000, 0.8011).

Record 8
VASP calculation (PBE-GGA) on CrAs2 after structural relaxation.

The value obtained for the formation energy is 1.70 eV per formula unit.

The structure belongs to space group P6_3/mmc (No. 194); the cell edges are 5.1237, 5.1237 and 11.3517 Å and the angles 90.00°, 90.00° and 120.00°. The distinct sites, in fractional coordinates, are Cr at (0.3333, 0.6667, 0.0629), As at (0.0000, 0.0000, 0.0000) and As at (0.1653, 0.3305, 0.2500).

Record 9
VASP calculation (PBE-GGA) on Dy2Si6Pt21 after structural relaxation.

The structure belongs to space group Fm-3m (No. 225); the cell edges are 12.3108, 12.3108 and 12.3108 Å and the angles 90.00°, 90.00° and 90.00°. The distinct sites, in fractional coordinates, are Dy at (0.2500, 0.2500, 0.2500), Si at (0.0000, 0.0000, 0.2339), Pt at (0.0000, 0.0000, 0.5000), Pt at (0.0000, 0.1726, 0.3274) and Pt at (0.1163, 0.1163, 0.1163).

Record 10
VASP calculation (PBE-GGA) on La2MnGePt6 after structural relaxation.

The value obtained for the formation energy is -7.79 eV per formula unit.

The structure belongs to space group C2/m (No. 12); the cell edges are 12.0539, 5.5112 and 8.5455 Å and the angles 90.00°, 132.96° and 90.00°. The distinct sites, in fractional coordinates, are La at (0.2434, 0.0000, 0.2030), Mn at (0.0000, 0.5000, 0.0000), Ge at (0.0000, 0.0000, 0.5000), Pt at (0.0015, 0.2510, 0.7491) and Pt at (0.2482, 0.5000, 0.3900).

Record 11
VASP calculation (PBE-GGA) on HoPaAu2 after structural relaxation.

The distance to the lowest polymorph of the same formula comes out at 0 meV/atom. The value obtained for the formation energy is -2.07 eV per formula unit.

The structure belongs to space group P4/mmm (No. 123); the cell edges are 3.4722, 3.4722 and 7.6832 Å and the angles 90.00°, 90.00° and 90.00°. The distinct sites, in fractional coordinates, are Ho at (0.0000, 0.0000, 0.0000), Pa at (0.0000, 0.0000, 0.5000) and Au at (0.5000, 0.5000, 0.2375).

Record 12
VASP calculation (PBE-GGA) on Mn2BeV2Rh5 after structural relaxation.

The value obtained for the formation energy is -0.74 eV per formula unit.

The structure belongs to space group P4/mbm (No. 127); the cell edges are 9.1128, 9.1128 and 3.4526 Å and the angles 90.00°, 90.00° and 90.00°. The distinct sites, in fractional coordinates, are Mn at (0.1682, 0.3318, 0.0000), Be at (0.0000, 0.0000, 0.0000), V at (0.1359, 0.6359, 0.0000), Rh at (0.0000, 0.5000, 0.5000) and Rh at (0.0703, 0.8075, 0.5000).

Record 13
VASP calculation (PBE-GGA) on TeC3 after structural relaxation.

The distance to the lowest polymorph of the same formula comes out at 1707 meV/atom.

The structure belongs to space group P4/mmm (No. 123); the cell edges are 3.1696, 3.1696 and 4.9563 Å and the angles 90.00°, 90.00° and 90.00°. The distinct sites, in fractional coordinates, are Te at (0.0000, 0.0000, 0.0000), C at (0.0000, 0.0000, 0.5000) and C at (0.5000, 0.5000, 0.3679).

Record 14
VASP calculation (PBE-GGA) on LaRu2Au after structural relaxation.

The distance to the lowest polymorph of the same formula comes out at 164 meV/atom. The value obtained for the formation energy is 0.99 eV per formula unit.

The structure belongs to space group I4/mmm (No. 139); the cell edges are 4.3296, 4.3296 and 8.0160 Å and the angles 90.00°, 90.00° and 90.00°. The distinct sites, in fractional coordinates, are La at (0.0000, 0.0000, 0.0000), Ru at (0.0000, 0.5000, 0.2500) and Au at (0.0000, 0.0000, 0.5000).

| no. | electronic total energy (eV/cell) |
| --- | --- |
| 1 | -82.302 |
| 2 | -526.798 |
| 3 | -14.955 |
| 4 | -232.369 |
| 5 | -135.901 |
| 6 | -32.208 |
| 7 | -41.258 |
| 8 | -68.884 |
| 9 | -752.698 |
| 10 | -135.356 |
| 11 | -22.697 |
| 12 | -155.598 |
| 13 | -20.123 |
| 14 | -51.528 |